Record 1
IrW2Br | GGA-PBE | optimized geometry

Geometry as POSCAR:
```
IrW2Br
1.0
-3.0366 1.3723 -3.1827
-2.7881 -0.1729 2.5856
0.6506 3.6295 0.9443
Br W Ir
1 2 1
Direct
0.5000 0.5000 0.0000
0.0000 0.5000 0.5000
0.0000 0.0000 0.0000
0.5000 0.0000 0.5000
```

Calculated values
Space-group type ... P4/mmm, No. 123
Excess energy over the best structure of this formula in the dataset ... 808 meV per atom
Total moment ... 0.00 μB per atom
Uncorrected formation energy ... 1.2989 eV per atom
E_tot ... -7.811 eV/atom
DOS(E_F) ... 3.558 states/eV per cell
Volume ... 67 Å³/cell

***

Record 2
OsRuPb2 | GGA-PBE | optimized geometry

Geometry as POSCAR:
```
OsRuPb2
1.0
-3.8380 -0.6814 -3.6502
-1.2011 -1.9236 -4.8348
-2.2915 -4.9583 0.0991
Pb Ru Os
2 1 1
Direct
0.9736 0.9736 0.0637
0.7757 0.7757 0.6866
0.5338 0.5338 0.5662
0.2169 0.2169 0.1835
```

Calculated values
Space-group type ... Cm, No. 8
Excess energy over the best structure of this formula in the dataset ... 281 meV per atom
Total moment ... 0.00 μB per atom
E_tot ... -6.240 eV/atom
DOS(E_F) ... 2.725 states/eV per cell
Volume ... 79 Å³/cell
Calculated formation energy ... 0.741 eV/atom

***

Record 3
NbTeH2PdI | GGA-PBE | optimized geometry

Geometry as POSCAR:
```
NbTeH2PdI
1.0
5.2268 0.0000 -0.0101
0.0000 3.4418 0.0000
-4.3381 0.0000 13.5083
Nb Pd I Te H
2 2 2 2 4
Direct
0.8479 0.0000 0.6519
0.8479 0.5000 0.1519
0.3406 0.0000 0.1307
0.3406 0.5000 0.6307
0.1949 0.0000 0.3030
0.1949 0.5000 0.8030
0.8514 0.5000 0.4984
0.8514 0.0000 0.9984
0.6956 0.5000 0.6803
0.4538 0.5000 0.1091
0.4538 0.0000 0.6091
0.6956 0.0000 0.1803
```

Calculated values
Space-group type ... Cm, No. 8
Excess energy over the best structure of this formula in the dataset ... 82 meV per atom
Total moment ... 0.00 μB per atom
E_tot ... -4.589 eV/atom
DOS(E_F) ... 2.849 states/eV per cell
Volume ... 243 Å³/cell

***

Record 4
TbNbRu | GGA-PBE | optimized geometry

Geometry as POSCAR:
```
TbNbRu
1.0
-0.1124 -0.7050 3.2032
3.2767 -0.1655 0.0786
-1.3391 5.8136 -0.4486
Ru Nb Tb
1 1 1
Direct
0.6849 0.6849 0.3698
0.3094 0.3094 0.6189
0.0057 0.0057 0.0113
```

Calculated values
Space-group type ... I4mm, No. 107
Total moment ... 0.00 μB per atom
E_tot ... -8.104 eV/atom
DOS(E_F) ... 2.583 states/eV per cell
Volume ... 59 Å³/cell
Calculated formation energy ... -0.112 eV/atom

***

Record 5
LiW2Se | GGA-PBE | optimized geometry

Geometry as POSCAR:
```
LiW2Se
1.0
3.1243 0.0000 0.0000
0.0000 4.3957 0.0161
0.0000 2.6602 4.6195
W Se Li
2 1 1
Direct
0.5000 0.5000 0.0000
0.0000 0.0000 0.0000
0.0000 0.0000 0.5000
0.5000 0.5000 0.5000
```

Calculated values
Space-group type ... P2/m, No. 10
Total moment ... 0.00 μB per atom
Uncorrected formation energy ... 0.4329 eV per atom
E_tot ... -7.393 eV/atom
DOS(E_F) ... 3.178 states/eV per cell
Volume ... 63 Å³/cell

***

Record 6
SbW2N | GGA-PBE | optimized geometry

Geometry as POSCAR:
```
SbW2N
1.0
4.9937 0.0000 0.0000
0.0000 4.9937 0.0000
2.4969 2.4969 6.0172
W N Sb
4 2 2
Direct
0.2705 0.6250 0.2500
0.8750 0.7295 0.7500
0.4795 0.1250 0.2500
0.3750 0.5205 0.7500
0.2500 0.7500 0.5000
0.5000 0.5000 0.0000
0.0000 0.0000 0.0000
0.7500 0.2500 0.5000
```

Calculated values
Space-group type ... I-42d, No. 122
Excess energy over the best structure of this formula in the dataset ... 0 meV per atom
Total moment ... 0.00 μB per atom
Uncorrected formation energy ... 0.5860 eV per atom
E_tot ... -9.003 eV/atom
DOS(E_F) ... 10.520 states/eV per cell
Volume ... 150 Å³/cell

***

Record 7
GdMnRh4 | GGA-PBE | optimized geometry

Geometry as POSCAR:
```
GdMnRh4
1.0
5.2462 0.0000 0.0000
2.6231 4.5433 0.0000
2.6231 1.5144 4.2835
Rh Gd Mn
4 1 1
Direct
0.6244 0.6244 0.6244
0.6244 0.1267 0.6244
0.1267 0.6244 0.6244
0.6244 0.6244 0.1267
0.0000 0.0000 0.0000
0.2500 0.2500 0.2500
```

Calculated values
Space-group type ... F-43m, No. 216
Total moment ... 1.99 μB per atom
E_tot ... -9.096 eV/atom
DOS(E_F) ... 3.474 states/eV per cell
Volume ... 102 Å³/cell
Calculated formation energy ... -0.319 eV/atom

***

Record 8
CsNaTl2Cd | GGA-PBE | optimized geometry

Geometry as POSCAR:
```
CsNaTl2Cd
1.0
-5.3119 2.2420 -0.9149
-2.1474 -5.3808 -0.7182
-1.1644 -0.3298 5.9524
Na Cd Tl Cs
1 1 2 1
Direct
0.0000 0.0000 0.5000
0.0000 0.0000 0.0000
0.0000 0.5000 0.0000
0.5000 0.0000 0.0000
0.5000 0.5000 0.5000
```

Calculated values
Space-group type ... P4/mmm, No. 123
Total moment ... 0.00 μB per atom
E_tot ... -1.517 eV/atom
DOS(E_F) ... 2.928 states/eV per cell
Volume ... 207 Å³/cell
Calculated formation energy ... 0.047 eV/atom

***

Record 9
MgZn3Te | GGA-PBE | optimized geometry

Geometry as POSCAR:
```
MgZn3Te
1.0
5.1191 0.0000 0.0000
0.0000 5.1191 0.0000
0.0000 0.0000 5.1191
Zn Mg Te
3 1 1
Direct
0.0000 0.5000 0.0000
0.0000 0.0000 0.5000
0.5000 0.0000 0.0000
0.0000 0.0000 0.0000
0.5000 0.5000 0.5000
```

Calculated values
Space-group type ... Pm-3m, No. 221
Excess energy over the best structure of this formula in the dataset ... 0 meV per atom
Total moment ... 0.00 μB per atom
Uncorrected formation energy ... 0.5049 eV per atom
E_tot ... -1.207 eV/atom
DOS(E_F) ... 4.154 states/eV per cell
Volume ... 134 Å³/cell

***

Record 10
PuAlSi2Os | GGA-PBE | optimized geometry

Geometry as POSCAR:
```
PuAlSi2Os
1.0
-0.6316 3.8757 -0.0076
-3.3604 -0.5438 1.9576
4.6481 -1.2245 3.7000
Al Si Pu Os
1 2 1 1
Direct
0.7500 0.2500 0.5000
0.6099 0.6099 0.2198
0.3901 0.3901 0.7802
0.0000 0.0000 0.0000
0.2500 0.7500 0.5000
```

Calculated values
Space-group type ... I-4m2, No. 119
Total moment ... 1.02 μB per atom
Uncorrected formation energy ... -0.4771 eV per atom
E_tot ... -8.507 eV/atom
DOS(E_F) ... 9.441 states/eV per cell
Volume ... 83 Å³/cell

***

Record 11
OsCCl2 | GGA-PBE | optimized geometry

Geometry as POSCAR:
```
OsCCl2
1.0
-1.8550 -1.7446 4.1024
-0.3748 -4.3666 -2.0265
4.5367 -4.4513 3.0000
C Cl Os
2 4 2
Direct
0.5000 0.5000 0.0000
0.2500 0.7500 0.5000
0.6242 0.1250 0.2500
0.1258 0.6250 0.2500
0.3750 0.3758 0.7500
0.8750 0.8742 0.7500
0.0000 0.0000 0.0000
0.7500 0.2500 0.5000
```

Calculated values
Space-group type ... I-42d, No. 122
Excess energy over the best structure of this formula in the dataset ... 411 meV per atom
Total moment ... 0.00 μB per atom
Uncorrected formation energy ... 2.2373 eV per atom
E_tot ... -3.799 eV/atom
DOS(E_F) ... 3.567 states/eV per cell
Volume ... 143 Å³/cell

***

Record 12
Sb2AuIF | GGA-PBE | optimized geometry

Geometry as POSCAR:
```
Sb2AuIF
1.0
4.7074 0.0000 0.0000
0.0000 4.7074 0.0000
0.0000 0.0000 5.8444
Sb F I Au
2 1 1 1
Direct
0.0000 0.5000 0.0000
0.5000 0.0000 0.0000
0.0000 0.0000 0.0000
0.0000 0.0000 0.5000
0.5000 0.5000 0.5000
```

Calculated values
Space-group type ... P4/mmm, No. 123
Excess energy over the best structure of this formula in the dataset ... 0 meV per atom
Total moment ... 0.00 μB per atom
Uncorrected formation energy ... 0.1432 eV per atom
E_tot ... -2.846 eV/atom
DOS(E_F) ... 2.900 states/eV per cell
Volume ... 130 Å³/cell